# 1
The following is a DFT calculation (PBE) of a relaxed structure of TaB2S6.

Total DFT energy (no corrections) = -5.939 eV/atom
ΔE_f (raw) = -0.39 eV/atom
DOS at the Fermi energy = 0.36 states/eV/atom
Total magnetization = 0.00 Bohr magnetons per cell

```
data_TaB2S6
_chemical_formula_sum 'Ta2 B4 S12'
_cell_length_a 5.9414
_cell_length_b 7.5847
_cell_length_c 7.5847
_cell_angle_alpha 84.16
_cell_angle_beta 82.45
_cell_angle_gamma 82.45
_symmetry_space_group_name_H-M 'P 1'
_symmetry_Int_Tables_number 1
loop_
_symmetry_equiv_pos_as_xyz
'x,y,z'
loop_
_atom_site_label
_atom_site_fract_x
_atom_site_fract_y
_atom_site_fract_z
S1 0.6879 0.5759 0.1144
S2 0.1879 0.1144 0.5759
S3 0.6170 0.2928 0.4244
S4 0.3844 0.0548 0.1789
S5 0.3121 0.4241 0.8856
S6 0.3830 0.7072 0.5756
S7 0.6156 0.9452 0.8211
S8 0.8121 0.8856 0.4241
S9 0.1156 0.8211 0.9452
S10 0.8844 0.1789 0.0548
S11 0.1170 0.4244 0.2928
S12 0.8830 0.5756 0.7072
B1 0.3379 0.2287 0.3551
B2 0.1621 0.6449 0.7713
B3 0.8379 0.3551 0.2287
B4 0.6621 0.7713 0.6449
Ta1 0.7500 0.8697 0.1303
Ta2 0.2500 0.1303 0.8697
```


# 2
The following is a DFT calculation (PBE) of a relaxed structure of TaB2S.

Total DFT energy (no corrections) = -6.839 eV/atom
ΔE_f (raw) = 0.50 eV/atom
DOS at the Fermi energy = 0.30 states/eV/atom
Total magnetization = 0.00 Bohr magnetons per cell

```
data_TaB2S
_chemical_formula_sum 'Ta2 B4 S2'
_cell_length_a 5.4858
_cell_length_b 5.4858
_cell_length_c 4.9892
_cell_angle_alpha 56.65
_cell_angle_beta 56.65
_cell_angle_gamma 90.00
_symmetry_space_group_name_H-M 'P 1'
_symmetry_Int_Tables_number 1
loop_
_symmetry_equiv_pos_as_xyz
'x,y,z'
loop_
_atom_site_label
_atom_site_fract_x
_atom_site_fract_y
_atom_site_fract_z
Ta1 0.7500 0.2500 0.5000
Ta2 0.0000 0.0000 0.0000
S1 0.5000 0.5000 0.0000
S2 0.2500 0.7500 0.5000
B1 0.1961 0.6250 0.2500
B2 0.3750 0.4461 0.7500
B3 0.8750 0.8039 0.7500
B4 0.5539 0.1250 0.2500
```


# 3
The following is a DFT calculation (PBE) of a relaxed structure of Tb3BS6.

Total DFT energy (no corrections) = -6.161 eV/atom
ΔE_f (raw) = -1.63 eV/atom
DOS at the Fermi energy = 0.00 states/eV/atom
Total magnetization = 0.00 Bohr magnetons per cell

```
data_Tb3BS6
_chemical_formula_sum 'Tb6 B2 S12'
_cell_length_a 6.2891
_cell_length_b 8.4335
_cell_length_c 8.4335
_cell_angle_alpha 101.77
_cell_angle_beta 90.00
_cell_angle_gamma 90.00
_symmetry_space_group_name_H-M 'P 1'
_symmetry_Int_Tables_number 1
loop_
_symmetry_equiv_pos_as_xyz
'x,y,z'
loop_
_atom_site_label
_atom_site_fract_x
_atom_site_fract_y
_atom_site_fract_z
Tb1 0.4856 0.2843 0.0808
Tb2 0.8913 0.6016 0.3984
Tb3 0.3913 0.3984 0.6016
Tb4 0.9856 0.0808 0.2843
Tb5 0.9856 0.7157 0.9192
Tb6 0.4856 0.9192 0.7157
S1 0.6484 0.9455 0.0545
S2 0.1682 0.4044 0.8919
S3 0.6897 0.3093 0.3669
S4 0.1897 0.6907 0.6331
S5 0.1682 0.1081 0.5956
S6 0.1897 0.3669 0.3093
S7 0.6897 0.6331 0.6907
S8 0.6682 0.8919 0.4044
S9 0.1484 0.0545 0.9455
S10 0.7245 0.2080 0.7920
S11 0.6682 0.5956 0.1081
S12 0.2245 0.7920 0.2080
B1 0.5341 0.8044 0.1956
B2 0.0341 0.1956 0.8044
```


# 4
The following is a DFT calculation (PBE) of a relaxed structure of Tb6BS5.

Total DFT energy (no corrections) = -6.381 eV/atom
ΔE_f (raw) = -1.79 eV/atom
DOS at the Fermi energy = 0.39 states/eV/atom
Total magnetization = 0.00 Bohr magnetons per cell

```
data_Tb6BS5
_chemical_formula_sum 'Tb6 B1 S5'
_cell_length_a 6.8041
_cell_length_b 6.7990
_cell_length_c 6.7912
_cell_angle_alpha 59.96
_cell_angle_beta 80.42
_cell_angle_gamma 70.57
_symmetry_space_group_name_H-M 'P 1'
_symmetry_Int_Tables_number 1
loop_
_symmetry_equiv_pos_as_xyz
'x,y,z'
loop_
_atom_site_label
_atom_site_fract_x
_atom_site_fract_y
_atom_site_fract_z
Tb1 0.7641 0.7665 0.0000
Tb2 0.7644 0.0784 0.3125
Tb3 0.2356 0.9216 0.6875
Tb4 0.2356 0.6091 0.3125
Tb5 0.2359 0.2335 0.0000
Tb6 0.7644 0.3909 0.6875
S1 0.5000 0.8290 0.3420
S2 0.0000 0.6663 0.6674
S3 0.5000 0.1710 0.6580
S4 0.5000 0.5000 0.0000
S5 0.0000 0.3337 0.3326
B1 0.0000 0.0000 0.0000
```


# 5
The following is a DFT calculation (PBE) of a relaxed structure of TbBS4.

Total DFT energy (no corrections) = -5.379 eV/atom
ΔE_f (raw) = -0.74 eV/atom
DOS at the Fermi energy = 0.70 states/eV/atom
Total magnetization = 0.00 Bohr magnetons per cell

```
data_TbBS4
_chemical_formula_sum 'Tb2 B2 S8'
_cell_length_a 5.4137
_cell_length_b 5.4137
_cell_length_c 8.6587
_cell_angle_alpha 90.00
_cell_angle_beta 90.00
_cell_angle_gamma 99.34
_symmetry_space_group_name_H-M 'P 1'
_symmetry_Int_Tables_number 1
loop_
_symmetry_equiv_pos_as_xyz
'x,y,z'
loop_
_atom_site_label
_atom_site_fract_x
_atom_site_fract_y
_atom_site_fract_z
S1 0.6932 0.6932 0.9241
S2 0.2027 0.8251 0.7500
S3 0.1749 0.7973 0.2500
S4 0.7973 0.1749 0.2500
S5 0.3068 0.3068 0.0759
S6 0.8251 0.2027 0.7500
S7 0.3068 0.3068 0.4241
S8 0.6932 0.6932 0.5759
Tb1 0.6517 0.6517 0.2500
Tb2 0.3483 0.3483 0.7500
B1 0.8591 0.8591 0.7500
B2 0.1409 0.1409 0.2500
```


# 6
The following is a DFT calculation (PBE) of a relaxed structure of Tb2BS.

Total DFT energy (no corrections) = -6.051 eV/atom
ΔE_f (raw) = -1.03 eV/atom
DOS at the Fermi energy = 0.51 states/eV/atom
Total magnetization = 0.00 Bohr magnetons per cell

```
data_Tb2BS
_chemical_formula_sum 'Tb2 B1 S1'
_cell_length_a 3.7839
_cell_length_b 3.7839
_cell_length_c 6.9994
_cell_angle_alpha 74.32
_cell_angle_beta 74.32
_cell_angle_gamma 60.00
_symmetry_space_group_name_H-M 'P 1'
_symmetry_Int_Tables_number 1
loop_
_symmetry_equiv_pos_as_xyz
'x,y,z'
loop_
_atom_site_label
_atom_site_fract_x
_atom_site_fract_y
_atom_site_fract_z
S1 0.5000 0.5000 0.5000
Tb1 0.7444 0.7444 0.7668
Tb2 0.2556 0.2556 0.2332
B1 0.0000 0.0000 0.0000
```


# 7
The following is a DFT calculation (PBE) of a relaxed structure of Tb3BS2.

Total DFT energy (no corrections) = -6.265 eV/atom
ΔE_f (raw) = -1.46 eV/atom
DOS at the Fermi energy = 0.45 states/eV/atom
Total magnetization = 0.00 Bohr magnetons per cell

```
data_Tb3BS2
_chemical_formula_sum 'Tb12 B4 S8'
_cell_length_a 6.7839
_cell_length_b 6.7839
_cell_length_c 12.2881
_cell_angle_alpha 100.69
_cell_angle_beta 100.69
_cell_angle_gamma 109.15
_symmetry_space_group_name_H-M 'P 1'
_symmetry_Int_Tables_number 1
loop_
_symmetry_equiv_pos_as_xyz
'x,y,z'
loop_
_atom_site_label
_atom_site_fract_x
_atom_site_fract_y
_atom_site_fract_z
Tb1 0.7724 0.7724 0.0000
Tb2 0.3922 0.4134 0.3252
Tb3 0.2276 0.2276 0.0000
Tb4 0.0882 0.0670 0.6748
Tb5 0.0224 0.5224 0.5000
Tb6 0.6634 0.1422 0.8252
Tb7 0.4776 0.9776 0.5000
Tb8 0.3170 0.8382 0.1748
Tb9 0.8578 0.3366 0.1748
Tb10 0.5866 0.6078 0.6748
Tb11 0.1618 0.6830 0.8252
Tb12 0.9330 0.9118 0.3252
S1 0.5025 0.0025 0.0051
S2 0.6694 0.1694 0.3388
S3 0.2525 0.2525 0.5051
S4 0.4194 0.4194 0.8388
S5 0.9975 0.4975 0.9949
S6 0.5806 0.5806 0.1612
S7 0.7475 0.7475 0.4949
S8 0.8306 0.3306 0.6612
B1 0.0837 0.0837 0.1674
B2 0.9163 0.9163 0.8326
B3 0.3337 0.8337 0.6674
B4 0.1663 0.6663 0.3326
```


# 8
The following is a DFT calculation (PBE) of a relaxed structure of Tb2BS4.

Total DFT energy (no corrections) = -5.977 eV/atom
ΔE_f (raw) = -1.34 eV/atom
DOS at the Fermi energy = 0.25 states/eV/atom
Total magnetization = 0.00 Bohr magnetons per cell

```
data_Tb2BS4
_chemical_formula_sum 'Tb4 B2 S8'
_cell_length_a 6.3024
_cell_length_b 6.0594
_cell_length_c 7.3521
_cell_angle_alpha 90.00
_cell_angle_beta 106.98
_cell_angle_gamma 90.00
_symmetry_space_group_name_H-M 'P 1'
_symmetry_Int_Tables_number 1
loop_
_symmetry_equiv_pos_as_xyz
'x,y,z'
loop_
_atom_site_label
_atom_site_fract_x
_atom_site_fract_y
_atom_site_fract_z
B1 0.7191 0.2500 0.8016
B2 0.2809 0.7500 0.1984
S1 0.1041 0.7500 0.3817
S2 0.4806 0.5062 0.2529
S3 0.8884 0.2500 0.0736
S4 0.1116 0.7500 0.9264
S5 0.4806 0.9938 0.2529
S6 0.5194 0.4938 0.7471
S7 0.8959 0.2500 0.6183
S8 0.5194 0.0062 0.7471
Tb1 0.2360 0.2500 0.4367
Tb2 0.2596 0.2500 0.9381
Tb3 0.7404 0.7500 0.0619
Tb4 0.7640 0.7500 0.5633
```


# 9
The following is a DFT calculation (PBE) of a relaxed structure of Tb4BS3.

Total DFT energy (no corrections) = -6.327 eV/atom
ΔE_f (raw) = -1.63 eV/atom
DOS at the Fermi energy = 0.26 states/eV/atom
Total magnetization = 0.00 Bohr magnetons per cell

```
data_Tb4BS3
_chemical_formula_sum 'Tb4 B1 S3'
_cell_length_a 3.8907
_cell_length_b 6.7955
_cell_length_c 6.7955
_cell_angle_alpha 109.08
_cell_angle_beta 90.00
_cell_angle_gamma 90.00
_symmetry_space_group_name_H-M 'P 1'
_symmetry_Int_Tables_number 1
loop_
_symmetry_equiv_pos_as_xyz
'x,y,z'
loop_
_atom_site_label
_atom_site_fract_x
_atom_site_fract_y
_atom_site_fract_z
S1 0.0000 0.0000 0.5000
S2 0.0000 0.5000 0.0000
S3 0.5000 0.5000 0.5000
Tb1 0.5000 0.2360 0.7640
Tb2 0.5000 0.7640 0.2360
Tb3 0.0000 0.7709 0.7709
Tb4 0.0000 0.2291 0.2291
B1 0.5000 0.0000 0.0000
```


# 10
The following is a DFT calculation (PBE) of a relaxed structure of Tb8BTe3S3.

Total DFT energy (no corrections) = -5.745 eV/atom
ΔE_f (raw) = -1.38 eV/atom
DOS at the Fermi energy = 0.59 states/eV/atom
Total magnetization = 0.01 Bohr magnetons per cell

```
data_Tb8BTe3S3
_chemical_formula_sum 'Tb8 B1 Te3 S3'
_cell_length_a 8.0480
_cell_length_b 8.0556
_cell_length_c 8.4726
_cell_angle_alpha 118.41
_cell_angle_beta 89.99
_cell_angle_gamma 119.99
_symmetry_space_group_name_H-M 'P 1'
_symmetry_Int_Tables_number 1
loop_
_symmetry_equiv_pos_as_xyz
'x,y,z'
loop_
_atom_site_label
_atom_site_fract_x
_atom_site_fract_y
_atom_site_fract_z
B1 0.0000 0.0000 0.5000
S1 0.0000 0.5000 0.5000
S2 0.5000 0.0000 0.5000
S3 0.5000 0.5000 0.5000
Tb1 0.7343 0.4688 0.7030
Tb2 0.2657 0.5312 0.2970
Tb3 0.2230 0.4458 0.7002
Tb4 0.7770 0.5542 0.2998
Tb5 0.2230 0.9775 0.7005
Tb6 0.2455 0.0225 0.2995
Tb7 0.7545 0.9775 0.7005
Tb8 0.7770 0.0225 0.2995
Te1 0.5000 0.5000 0.0000
Te2 0.0000 0.5000 0.0000
Te3 0.0000 0.0000 0.0000
```


# 11
The following is a DFT calculation (PBE) of a relaxed structure of Tb8BTe4S3.

Total DFT energy (no corrections) = -5.799 eV/atom
ΔE_f (raw) = -1.51 eV/atom
DOS at the Fermi energy = 0.31 states/eV/atom
Total magnetization = 0.00 Bohr magnetons per cell

```
data_Tb8BTe4S3
_chemical_formula_sum 'Tb8 B1 Te4 S3'
_cell_length_a 8.1262
_cell_length_b 8.4729
_cell_length_c 8.1260
_cell_angle_alpha 118.66
_cell_angle_beta 120.00
_cell_angle_gamma 90.00
_symmetry_space_group_name_H-M 'P 1'
_symmetry_Int_Tables_number 1
loop_
_symmetry_equiv_pos_as_xyz
'x,y,z'
loop_
_atom_site_label
_atom_site_fract_x
_atom_site_fract_y
_atom_site_fract_z
Tb1 0.2242 0.7027 0.9786
Tb2 0.7355 0.7064 0.4710
Tb3 0.2645 0.2936 0.5290
Tb4 0.7758 0.2973 0.0214
Tb5 0.2456 0.2973 0.0214
Tb6 0.7544 0.7027 0.9786
Tb7 0.7759 0.2973 0.5517
Tb8 0.2241 0.7027 0.4483
Te1 0.5000 0.0000 0.5000
Te2 0.0000 0.0000 0.0000
Te3 0.5000 0.0000 0.0000
Te4 0.0000 0.0000 0.5000
B1 0.0000 0.5000 0.0000
S1 0.0000 0.5000 0.5000
S2 0.5000 0.5000 0.0000
S3 0.5000 0.5000 0.5000
```


# 12
The following is a DFT calculation (PBE) of a relaxed structure of TbTl2BS4.

Total DFT energy (no corrections) = -4.749 eV/atom
ΔE_f (raw) = -0.68 eV/atom
Total magnetization = 0.00 Bohr magnetons per cell

```
data_TbTl2BS4
_chemical_formula_sum 'Tb2 Tl4 B2 S8'
_cell_length_a 8.7112
_cell_length_b 8.7112
_cell_length_c 8.0150
_cell_angle_alpha 113.07
_cell_angle_beta 113.07
_cell_angle_gamma 100.38
_symmetry_space_group_name_H-M 'P 1'
_symmetry_Int_Tables_number 1
loop_
_symmetry_equiv_pos_as_xyz
'x,y,z'
loop_
_atom_site_label
_atom_site_fract_x
_atom_site_fract_y
_atom_site_fract_z
Tl1 0.5000 0.0000 0.0000
Tl2 0.0000 0.0000 0.5000
Tl3 0.5000 0.5000 0.0000
Tl4 0.5000 0.0000 0.5000
S1 0.1207 0.1543 0.9737
S2 0.2270 0.6781 0.9296
S3 0.8219 0.2730 0.5704
S4 0.6543 0.6207 0.4737
S5 0.3457 0.3793 0.5263
S6 0.1781 0.7270 0.4296
S7 0.8793 0.8457 0.0263
S8 0.7730 0.3219 0.0704
Tb1 0.0000 0.5000 0.0000
Tb2 0.0000 0.5000 0.5000
B1 0.0000 0.0000 0.0000
B2 0.5000 0.5000 0.5000
```